## w
{"formula": "LaV", "functional": "PBE", "state": "relaxed", "cell": [[-0.909, -2.687, -7.493], [-2.012, -4.660, 6.198], [-5.029, 2.019, -0.114]], "species": ["La", "V", "V", "La", "V", "V", "V", "La", "La", "La", "V", "La"], "fractional_positions": [[0.169, 0.338, 0.750], [0.430, 0.570, 0.250], [0.430, 0.859, 0.250], [0.831, 0.662, 0.250], [0.570, 0.430, 0.750], [0.859, 0.430, 0.750], [0.570, 0.141, 0.750], [0.831, 0.169, 0.250], [0.338, 0.169, 0.250], [0.662, 0.831, 0.750], [0.141, 0.570, 0.250], [0.169, 0.831, 0.750]], "vol_a3_per_atom": 25.11, "space_group": "P6_3/mmc"}



## x
{"formula": "LaV", "functional": "PBE", "state": "relaxed", "cell": [[-2.961, -2.189, -5.004], [4.229, -4.521, -0.525], [-3.457, -3.656, 3.645]], "species": ["V", "V", "V", "La", "La", "La", "V", "La"], "fractional_positions": [[0.000, 0.500, 0.500], [0.500, 0.000, 0.500], [0.000, 0.000, 0.000], [0.000, 0.000, 0.500], [0.500, 0.500, 0.500], [0.000, 0.500, 0.000], [0.500, 0.500, 0.000], [0.500, 0.000, 0.000]], "vol_a3_per_atom": 29.98, "space_group": "Fm-3m"}



Pick w: it beats the second-best structure by 667 meV per atom.